No. 1
## Al2CoOs (PBE-GGA)

Data for a relaxed structure of Al2CoOs.

Output
- E above lowest polymorph: 0.2928 eV per atom
- M_tot: 0.0000 μB/atom
- E_tot: -6.67 eV per atom
- ΔH_f (0 K): -0.21 eV per atom

a b c (Å): 2.7179 3.7386 5.2401
angles (deg): 90.00 90.00 90.00
Fractional positions:
Al1 0.0000 0.0000 0.0000
Al2 0.5000 0.5000 0.2908
Co1 0.0000 0.0000 0.4929
Os1 0.5000 0.5000 0.7790

No. 2
## AlCoOs2 (PBE-GGA)

Data for a relaxed structure of AlCoOs2.

Output
- M_tot: 0.4449 μB/atom
- E_tot: -8.26 eV per atom
- ΔH_f (0 K): 0.07 eV per atom

a b c (Å): 4.2500 4.2500 4.2500
angles (deg): 60.00 60.00 60.00
Fractional positions:
Al1 0.0000 0.0000 0.0000
Co1 0.2500 0.2500 0.2500
Os1 0.5000 0.5000 0.5000
Os2 0.7500 0.7500 0.7500

No. 3
## AlCoOs2 (PBE-GGA)

Data for a relaxed structure of AlCoOs2.

Output
- M_tot: 0.1662 μB/atom
- E_tot: -8.34 eV per atom
- ΔH_f (0 K): -0.01 eV per atom

a b c (Å): 4.5379 4.5379 4.6543
angles (deg): 100.74 100.74 34.88
Fractional positions:
Al1 0.0000 0.0000 0.0000
Co1 0.5000 0.5000 0.5000
Os1 0.2458 0.2458 0.7405
Os2 0.7542 0.7542 0.2595

No. 4
## Al2CoOs (PBE-GGA)

Data for a relaxed structure of Al2CoOs.

Output
- E above lowest polymorph: 0.7886 eV per atom
- M_tot: 0.2362 μB/atom
- E_tot: -6.17 eV per atom
- ΔH_f (0 K): 0.28 eV per atom

a b c (Å): 5.3508 5.3508 5.3508
angles (deg): 104.30 104.30 120.40
Fractional positions:
Al1 0.1008 0.6250 0.9758
Al2 0.3750 0.3508 0.4758
Al3 0.6492 0.1250 0.0242
Al4 0.8750 0.8992 0.5242
Co1 0.0000 0.0000 0.0000
Co2 0.7500 0.2500 0.5000
Os1 0.2500 0.7500 0.5000
Os2 0.5000 0.5000 0.0000

No. 5
## Al2CoOs (PBE-GGA)

Data for a relaxed structure of Al2CoOs.

Output
- E above lowest polymorph: 0.4050 eV per atom
- M_tot: 0.2758 μB/atom
- E_tot: -6.55 eV per atom
- ΔH_f (0 K): -0.10 eV per atom

a b c (Å): 4.2246 4.2246 4.2246
angles (deg): 60.00 60.00 60.00
Fractional positions:
Al1 0.0000 0.0000 0.0000
Al2 0.2500 0.2500 0.2500
Co1 0.7500 0.7500 0.7500
Os1 0.5000 0.5000 0.5000

No. 6
## AlCoOs2 (PBE-GGA)

Data for a relaxed structure of AlCoOs2.

Output
- M_tot: 0.2409 μB/atom
- E_tot: -8.33 eV per atom
- ΔH_f (0 K): -0.01 eV per atom

a b c (Å): 8.5579 8.5579 8.5579
angles (deg): 18.29 18.29 18.29
Fractional positions:
Al1 0.0000 0.0000 0.0000
Co1 0.2556 0.2556 0.2556
Os1 0.5073 0.5073 0.5073
Os2 0.7536 0.7536 0.7536

No. 7
## AlCo2Os (PBE-GGA)

Data for a relaxed structure of AlCo2Os.

Output
- M_tot: 0.7809 μB/atom
- E_tot: -6.86 eV per atom
- ΔH_f (0 K): 0.44 eV per atom

a b c (Å): 9.0821 9.0821 9.0821
angles (deg): 157.56 157.56 31.94
Fractional positions:
Al1 0.0000 0.0000 0.0000
Al2 0.7500 0.2500 0.5000
Co1 0.1078 0.6250 0.9828
Co2 0.3750 0.3578 0.4828
Co3 0.6422 0.1250 0.0172
Co4 0.8750 0.8922 0.5172
Os1 0.2500 0.7500 0.5000
Os2 0.5000 0.5000 0.0000

No. 8
## AlCoOs2 (PBE-GGA)

Data for a relaxed structure of AlCoOs2.

Output
- M_tot: 0.4837 μB/atom
- E_tot: -8.26 eV per atom
- ΔH_f (0 K): 0.07 eV per atom

a b c (Å): 5.0274 5.0274 5.0274
angles (deg): 146.86 127.44 63.56
Fractional positions:
Al1 0.0000 0.0000 0.0000
Co1 0.5000 0.5000 0.0000
Os1 0.2448 0.7448 0.5000
Os2 0.7552 0.2552 0.5000